# 1
First-principles (PBE) data for Ba2Zn2Ge3 after structural relaxation, as listed in Alexandria.

```
14
Lattice="1.0511 -0.5493 -4.8918 -0.6798 -7.1242 0.6540 -10.1135 0.9931 0.3050" Properties=species:S:1:pos:R:3 pbc="T T T"
Ge -4.7816 -5.0231 -0.4634
Ge -0.8989 -3.2248 -2.4207
Ge -0.6596 -0.7166 -2.6509
Ge -9.0826 -5.9639 -1.2819
Ge -8.8432 -3.4556 -1.5121
Ge -4.9606 -1.6574 -3.4695
Zn -6.1268 -0.0047 -1.3160
Zn -6.3789 -2.6458 -1.0735
Zn -3.3633 -4.0347 -2.8593
Zn -3.6153 -6.6757 -2.6169
Ba -1.4734 -5.2709 0.2753
Ba -6.4905 -5.1303 -3.4082
Ba -8.2688 -1.4095 -4.2082
Ba -3.2517 -1.5501 -0.5246
```

Formation energy from the elements   -37.0 kJ/mol of atoms
Fermi-level density of states   0.509 states/eV per atom



# 2
First-principles (PBE) data for Ba3Zn5Ge2 after structural relaxation, as listed in Alexandria.

```
20
Lattice="6.6461 0.0000 0.0000 3.3230 9.0801 0.1515 3.3230 2.5556 8.7143" Properties=species:S:1:pos:R:3 pbc="T T T"
Ba 3.3230 2.8293 5.1494
Ba 9.9691 8.8064 3.7164
Ba 6.6461 5.7156 1.3613
Ba 4.9846 0.0000 0.0000
Ba 6.6461 5.9201 7.5044
Ba 1.6615 0.0000 0.0000
Ge 6.6461 1.8133 6.0631
Ge 6.6461 9.8224 2.8027
Ge 9.9691 5.3088 8.7265
Ge 3.3230 6.3269 0.1393
Zn 8.3076 5.8179 4.4329
Zn 1.6615 2.7811 2.1190
Zn 8.3076 8.8546 6.7468
Zn 6.6461 8.0201 4.6763
Zn 4.9846 2.7811 2.1190
Zn 11.6307 8.8546 6.7468
Zn 4.9846 5.8179 4.4329
Zn 3.3230 4.9988 2.3742
Zn 9.9691 6.6369 6.4916
Zn 6.6461 3.6156 4.1895
```

Formation energy from the elements   -22.6 kJ/mol of atoms
Fermi-level density of states   0.471 states/eV per atom



# 3
First-principles (PBE) data for BaZn3Ge2 after structural relaxation, as listed in Alexandria.

```
12
Lattice="4.2959 0.0000 1.1827 0.9757 7.4585 4.8493 -0.1485 0.6175 8.9329" Properties=species:S:1:pos:R:3 pbc="T T T"
Zn 2.2870 6.2660 8.4798
Zn 1.9124 3.9699 9.8407
Zn 2.8362 1.8100 6.4851
Zn 0.5948 5.1399 6.2332
Zn 4.5284 2.9361 8.7317
Zn 3.2108 4.1061 5.1242
Ge 4.1537 5.3346 10.0927
Ge 0.9695 2.7414 4.8721
Ge 2.1746 1.6782 8.8883
Ge 2.9486 6.3978 6.0766
Ba 3.7408 1.2966 3.1992
Ba 1.3824 6.7794 11.7657
```

Formation energy from the elements   -20.4 kJ/mol of atoms
Fermi-level density of states   0.246 states/eV per atom



# 4
First-principles (PBE) data for Ba8ZnGe2 after structural relaxation, as listed in Alexandria.

```
11
Lattice="5.6705 0.0000 0.0000 0.0000 8.0319 0.3508 -2.8352 -3.0180 10.3973" Properties=species:S:1:pos:R:3 pbc="T T T"
Ba 0.0000 -1.7098 6.9275
Ba 2.8352 3.0050 2.0823
Ba 0.0000 2.0089 8.6658
Ba 2.8352 -1.1454 9.6411
Ba 2.8352 6.7237 3.8207
Ba 0.0000 6.1594 1.1071
Ba 0.0000 1.3625 4.4558
Ba 2.8352 3.6515 6.2924
Ge 2.8353 0.3449 6.4817
Ge 0.0000 4.6690 4.2664
Zn 2.8352 0.0000 0.0000
```

Formation energy from the elements   -23.4 kJ/mol of atoms
Fermi-level density of states   0.938 states/eV per atom



# 5
First-principles (PBE) data for Ba3Zn3Ge2 after structural relaxation, as listed in Alexandria.

```
16
Lattice="-4.0442 1.8198 0.4748 -0.5301 -6.6721 0.1087 2.0652 0.1154 17.1468" Properties=species:S:1:pos:R:3 pbc="T T T"
Zn -0.8129 -2.9720 4.4670
Zn -1.6963 -1.7649 13.2634
Zn -1.0395 -4.8755 9.8318
Zn -0.2385 -4.8308 16.4819
Zn -2.2706 0.0939 1.2485
Zn -1.4697 0.1386 7.8986
Ba -0.7474 -5.0979 13.1715
Ba -3.6105 -3.0887 2.0335
Ba 1.1014 -1.6482 15.6969
Ba -2.9526 -3.0520 7.4964
Ba 0.4434 -1.6849 10.2339
Ba -1.7617 0.3610 4.5588
Ge -0.4786 -1.5923 2.0257
Ge 0.0892 -1.5605 6.7406
Ge -2.0305 -3.1446 15.7047
Ge -2.5984 -3.1764 10.9898
```

Formation energy from the elements   -36.1 kJ/mol of atoms
Fermi-level density of states   0.511 states/eV per atom



# 6
First-principles (PBE) data for BaZnGe3 after structural relaxation, as listed in Alexandria.

```
5
Lattice="4.3647 0.1868 -1.9217 -1.0319 4.2429 -1.9264 0.0772 0.1092 6.1095" Properties=species:S:1:pos:R:3 pbc="T T T"
Ba 1.2565 1.6747 3.0161
Zn 3.3819 4.4999 2.1921
Ge 2.5680 0.6075 -0.0367
Ge -0.1313 2.6344 -0.0379
Ge 2.4851 3.3073 0.0426
```

Relative energy among the computed polymorphs   0 meV per atom
Formation energy from the elements   -31.7 kJ/mol of atoms
Fermi-level density of states   0.177 states/eV per atom



# 7
First-principles (PBE) data for BaZnGe3 after structural relaxation, as listed in Alexandria.

```
5
Lattice="-4.0832 -2.1338 2.0724 1.4934 -4.5144 -1.7058 2.5725 -0.7661 4.2797" Properties=species:S:1:pos:R:3 pbc="T T T"
Ba -0.0086 -3.7072 2.3231
Ge 1.2863 -0.3831 2.1398
Ge -2.0416 -1.0669 1.0362
Ge 0.7467 -2.2572 -0.8529
Zn 0.0000 0.0000 0.0000
```

Relative energy among the computed polymorphs   381 meV per atom
Formation energy from the elements   5.1 kJ/mol of atoms
Fermi-level density of states   0.691 states/eV per atom



# 8
First-principles (PBE) data for Ba3ZnGe after structural relaxation, as listed in Alexandria.

```
5
Lattice="6.4475 0.0000 0.0000 0.0000 6.4475 0.0000 0.0000 0.0000 6.4475" Properties=species:S:1:pos:R:3 pbc="T T T"
Ba 0.0000 0.0000 3.2238
Ba 0.0000 3.2238 0.0000
Ba 3.2238 0.0000 0.0000
Zn 3.2238 3.2238 3.2238
Ge 0.0000 0.0000 0.0000
```

Relative energy among the computed polymorphs   225 meV per atom
Formation energy from the elements   -1.6 kJ/mol of atoms
Fermi-level density of states   1.498 states/eV per atom



# 9
First-principles (PBE) data for Ba2ZnGe after structural relaxation, as listed in Alexandria.

```
8
Lattice="-4.4554 -1.2044 0.5304 1.8254 -4.5874 4.9173 -1.7690 8.2465 3.8664" Properties=species:S:1:pos:R:3 pbc="T T T"
Ba -4.5808 5.7544 5.1058
Ba -3.7050 1.6197 3.0741
Ba -0.6939 0.8349 6.2400
Ba 0.1819 -3.2997 4.2083
Zn -3.6016 2.6906 6.3746
Zn -0.7973 -0.2359 2.9395
Ge -1.7036 3.8977 4.7132
Ge -2.6953 -1.4430 4.6009
```

Relative energy among the computed polymorphs   0 meV per atom
Formation energy from the elements   -36.5 kJ/mol of atoms
Fermi-level density of states   0.367 states/eV per atom



# 10
First-principles (PBE) data for Ba2Zn5Ge after structural relaxation, as listed in Alexandria.

```
16
Lattice="4.9346 0.0000 0.0000 -2.4673 8.5443 0.0000 0.0000 0.0000 9.2234" Properties=species:S:1:pos:R:3 pbc="T T T"
Zn 2.4673 5.3666 3.6162
Zn 0.0000 5.9875 4.7560
Zn 0.0000 5.9875 9.0792
Zn 2.4673 2.5569 0.1442
Zn 0.0000 3.1778 8.2280
Zn 2.4673 5.3666 0.9955
Zn 2.4673 2.5569 4.4675
Zn 0.0000 7.0369 2.3059
Zn 0.0000 3.1778 5.6072
Zn 2.4673 1.5075 6.9176
Ge 0.0000 7.4626 6.9176
Ge 2.4673 1.0817 2.3059
Ba 0.0000 3.5830 2.3059
Ba 2.4673 4.9613 6.9176
Ba 0.0000 0.0000 0.0000
Ba 0.0000 0.0000 4.6117
```

Formation energy from the elements   -24.2 kJ/mol of atoms
Fermi-level density of states   0.643 states/eV per atom



# 11
First-principles (PBE) data for BaZn2Ge after structural relaxation, as listed in Alexandria.

```
8
Lattice="-2.2979 -3.8110 -0.2504 3.2164 -1.7735 -2.5251 4.7555 -3.4233 8.4617" Properties=species:S:1:pos:R:3 pbc="T T T"
Ba 5.2119 -3.4809 5.1497
Ba 0.0029 -2.7346 1.9243
Zn 3.2433 -5.0673 7.6902
Zn 2.8370 -4.5039 2.8431
Zn 2.3778 -1.7117 4.2309
Zn 1.9715 -1.1482 -0.6162
Ge 1.8980 -4.0989 5.2964
Ge 3.3168 -2.1167 1.7776
```

Formation energy from the elements   -24.8 kJ/mol of atoms
Fermi-level density of states   0.419 states/eV per atom



# 12
First-principles (PBE) data for Ba2ZnGe after structural relaxation, as listed in Alexandria.

```
8
Lattice="6.1632 0.0000 0.0000 0.0000 6.1632 0.0000 3.0816 3.0816 9.6548" Properties=species:S:1:pos:R:3 pbc="T T T"
Zn 3.0816 3.0816 0.0000
Zn 3.0816 6.1632 4.8274
Ge 0.0000 0.0000 0.0000
Ge 6.1632 3.0816 4.8274
Ba 4.6224 4.5419 7.2411
Ba 7.7040 7.7844 7.2411
Ba 1.4603 4.6224 2.4137
Ba 4.7028 1.5408 2.4137
```

Relative energy among the computed polymorphs   518 meV per atom
Formation energy from the elements   13.5 kJ/mol of atoms
Fermi-level density of states   0.897 states/eV per atom